Below is a PBEsol-optimized structure of Ba2La2Ti2Cu2O11, with properties calculated at the meta-GGA SCAN level.

Summary:
Total DFT energy (no corrections) ... -352.53 eV for the cell shown
N(E_F) ... 0.088 states/eV per atom
M_tot ... 0.0 μB/cell
Space group ... P4/mmm
E_form (uncorrected) ... -2959 meV per atom

Cell lengths 3.906, 3.906, 15.805 Å; angles 90.00, 90.00, 90.00 degrees
Sites, in units of the cell vectors:
Ba  0.000  0.000  0.234
Ba  0.000  0.000  0.766
La  0.000  0.000  0.000
La  0.000  0.000  0.500
Ti  0.500  0.500  0.373
Ti  0.500  0.500  0.627
Cu  0.500  0.500  0.110
Cu  0.500  0.500  0.890
O  0.000  0.500  0.099
O  0.000  0.500  0.385
O  0.000  0.500  0.615
O  0.000  0.500  0.901
O  0.500  0.000  0.099
O  0.500  0.000  0.385
O  0.500  0.000  0.615
O  0.500  0.000  0.901
O  0.500  0.500  0.256
O  0.500  0.500  0.500
O  0.500  0.500  0.744